1.
Tb2Pm2Pr4Tm: optimized geometry, GGA-PBE.

```
Tb2Pm2Pr4Tm
1.0
5.1631 0.0000 0.0000
-2.5816 7.7426 0.0226
0.0000 -2.6139 7.6821
Tb Pm Pr Tm
2 2 4 1
direct
0.3336 0.6671 0.0002
0.6664 0.3329 0.9998
0.8885 0.7769 0.3292
0.1115 0.2231 0.6708
0.7781 0.5562 0.6699
0.2219 0.4438 0.3301
0.5545 0.1091 0.3303
0.4455 0.8909 0.6697
0.0000 0.0000 0.0000
```

N(E_F), states/eV/atom: 1.619
Energy of formation, meV/atom: 21
Raw total energy, eV/cell: -42.2
ρ, g/cm3: 7.24
Spin magnetization, Bohr magnetons per cell: 0.0



2.
TbPm6Pr2Tm: optimized geometry, GGA-PBE.

```
TbPm6Pr2Tm
1.0
9.3595 -2.1315 -2.2120
0.7629 8.6720 -2.0561
0.7629 -2.3761 8.5898
Tb Pm Pr Tm
2 12 4 2
direct
0.2500 0.9816 0.0184
0.7500 0.0184 0.9816
0.0557 0.1238 0.7499
0.4443 0.2501 0.8762
0.9443 0.8762 0.2501
0.5557 0.7499 0.1238
0.3100 0.9838 0.4253
0.1900 0.5747 0.0162
0.6900 0.0162 0.5747
0.8100 0.4253 0.9838
0.1192 0.7076 0.4980
0.3808 0.5020 0.2924
0.8808 0.2924 0.5020
0.6192 0.4980 0.7076
0.4580 0.8044 0.7028
0.0420 0.2972 0.1956
0.5420 0.1956 0.2972
0.9580 0.7028 0.8044
0.2500 0.4081 0.5919
0.7500 0.5919 0.4081
```

N(E_F), states/eV/atom: 1.434
Energy of formation, meV/atom: 115
Raw total energy, eV/cell: -92.0
ρ, g/cm3: 7.15
Spin magnetization, Bohr magnetons per cell: 0.0



3.
Tb2PmPr4Tm2: optimized geometry, GGA-PBE.

```
Tb2PmPr4Tm2
1.0
-0.3781 -2.0942 4.6542
-6.6805 -1.8777 -4.2012
5.6865 -5.4044 -1.9697
Tb Pm Pr Tm
2 1 4 2
direct
0.8883 0.7765 0.3306
0.1117 0.2235 0.6694
0.0000 0.0000 0.0000
0.7769 0.5538 0.6698
0.2231 0.4462 0.3302
0.5537 0.1075 0.3305
0.4463 0.8925 0.6695
0.3315 0.6630 0.0010
0.6685 0.3370 0.9990
```

N(E_F), states/eV/atom: 1.495
Energy of formation, meV/atom: 21
Raw total energy, eV/cell: -41.9
ρ, g/cm3: 7.49
Spin magnetization, Bohr magnetons per cell: 0.0



4.
Tb6PmPr2Tm: optimized geometry, GGA-PBE.

```
Tb6PmPr2Tm
1.0
9.2764 -2.1477 -2.2288
0.7546 8.5511 -2.0143
0.7546 -2.3298 8.4706
Tb Pm Pr Tm
12 2 4 2
direct
0.0570 0.1228 0.7415
0.4430 0.2585 0.8772
0.9430 0.8772 0.2585
0.5570 0.7415 0.1228
0.3123 0.9814 0.4268
0.1877 0.5732 0.0186
0.6877 0.0186 0.5732
0.8123 0.4268 0.9814
0.1192 0.7047 0.4928
0.3808 0.5072 0.2953
0.8808 0.2953 0.5072
0.6192 0.4928 0.7047
0.2500 0.9829 0.0171
0.7500 0.0171 0.9829
0.4575 0.8044 0.7035
0.0425 0.2965 0.1956
0.5425 0.1956 0.2965
0.9575 0.7035 0.8044
0.2500 0.4071 0.5929
0.7500 0.5929 0.4071
```

N(E_F), states/eV/atom: 1.385
Energy of formation, meV/atom: 115
Raw total energy, eV/cell: -90.8
ρ, g/cm3: 7.75
Spin magnetization, Bohr magnetons per cell: 0.0



5.
Tb6Pm2PrTm3: optimized geometry, GGA-PBE.

```
Tb6Pm2PrTm3
1.0
-4.0124 3.0109 3.6188
-1.6682 -5.2956 -2.7265
5.7384 -5.2051 8.9336
Tb Pm Pr Tm
6 2 1 3
direct
0.9142 0.5805 0.7448
0.7521 0.7521 0.2553
0.0858 0.4195 0.2552
0.5805 0.9142 0.7448
0.2479 0.2479 0.7447
0.4195 0.0858 0.2552
0.3334 0.6666 0.0000
0.6666 0.3334 0.0000
0.0000 0.0000 0.0000
0.1668 0.8332 0.5000
0.8332 0.1668 0.5000
0.5000 0.5000 0.5000
```

N(E_F), states/eV/atom: 1.342
Energy of formation, meV/atom: 20
Raw total energy, eV/cell: -55.2
ρ, g/cm3: 8.14
Spin magnetization, Bohr magnetons per cell: 0.0



6.
Tb6PmPr3Tm2: optimized geometry, GGA-PBE.

```
Tb6PmPr3Tm2
1.0
6.2290 0.0000 0.0055
-3.1129 5.3953 0.0055
-1.0465 -1.8120 11.7193
Tb Pm Pr Tm
6 1 3 2
direct
0.9178 0.5836 0.7545
0.7480 0.7480 0.2455
0.0822 0.4164 0.2455
0.5836 0.9178 0.7545
0.2520 0.2520 0.7545
0.4164 0.0822 0.2455
0.0000 0.0000 0.0000
0.1669 0.8331 0.5000
0.8331 0.1669 0.5000
0.5000 0.5000 0.5000
0.3332 0.6668 0.0000
0.6668 0.3332 0.0000
```

N(E_F), states/eV/atom: 1.331
Energy of formation, meV/atom: 19
Raw total energy, eV/cell: -55.6
ρ, g/cm3: 7.84
Spin magnetization, Bohr magnetons per cell: 0.0



7.
Tb2Pm2PrTm2: optimized geometry, GGA-PBE.

```
Tb2Pm2PrTm2
1.0
3.5357 0.0000 0.0000
-1.7679 5.6315 1.6177
0.0000 0.6425 11.8596
Tb Pm Pr Tm
2 2 1 2
direct
0.4495 0.8990 0.7718
0.5505 0.1010 0.2282
0.6703 0.3406 0.9166
0.3297 0.6594 0.0834
0.0000 0.0000 0.5000
0.7754 0.5508 0.3622
0.2246 0.4492 0.6378
```

N(E_F), states/eV/atom: 1.740
Energy of formation, meV/atom: 89
Raw total energy, eV/cell: -31.9
ρ, g/cm3: 7.76
Spin magnetization, Bohr magnetons per cell: 0.0



8.
TbPmPrTm: optimized geometry, GGA-PBE.

```
TbPmPrTm
1.0
3.7296 0.0000 0.5701
0.0000 5.9080 0.0000
0.9138 -2.9540 6.1794
Tb Pm Pr Tm
1 1 1 1
direct
0.4154 0.1302 0.2605
0.8814 0.6534 0.3068
0.7134 0.3872 0.7743
0.1757 0.8939 0.7877
```

N(E_F), states/eV/atom: 1.719
Energy of formation, meV/atom: 106
Raw total energy, eV/cell: -18.2
Energy relative to the lowest polymorph listed for this composition, meV per atom: 0
ρ, g/cm3: 7.66
Spin magnetization, Bohr magnetons per cell: 0.0